Model a:
Here is a relaxed structure of Mo4Ir from Alexandria. Energies are from GGA-PBE.

The structure belongs to space group I4/m (No. 87); the cell edges are 6.9393, 6.9393 and 3.2519 Å and the angles 90.00°, 90.00° and 90.00°. The inequivalent atoms are Mo at (0.1106, 0.6932, 0.0000) and Ir at (0.0000, 0.0000, 0.5000).

Model b:
Here is a relaxed structure of Mo4Ir from Alexandria. Energies are from GGA-PBE.

The structure belongs to space group Im-3m (No. 229); the cell edges are 5.8004, 5.8004 and 5.8004 Å and the angles 90.00°, 90.00° and 90.00°. The inequivalent atoms are Mo at (0.2500, 0.2500, 0.2500) and Ir at (0.0000, 0.0000, 0.0000).

model a is preferred energetically. Next in line: 1235 meV/atom higher.